No. 1
# Si2AsBr PBE-GGA relaxed
# DFT total energy   -0.268 Ry/atom
# Size of the total moment   0.0 μB/f.u.
# E_form (uncorrected)   648 meV/atom
# Calculated volume   79.3 Å³/cell
data_Si2AsBr
_cell_length_a 5.038
_cell_length_b 5.038
_cell_length_c 3.123
_cell_angle_alpha 90.00
_cell_angle_beta 90.00
_cell_angle_gamma 90.00
_space_group_name_H-M_alt 'P 4/m m m'
_space_group_IT_number 123
_space_group_name_Hall '-P 4 2'
loop_
_atom_site_label
_atom_site_fract_x
_atom_site_fract_y
_atom_site_fract_z
_atom_site_occupancy
Si1 0.000 0.500 0.000 1
As1 0.000 0.000 0.500 1
Br1 0.500 0.500 0.500 1

***

No. 2
# CsAcSbO3 PBE-GGA relaxed
# DFT total energy   -0.444 Ry/atom
# Size of the total moment   0.0 μB/f.u.
# E_form (uncorrected)   -2047 meV/atom
# Calculated volume   529.9 Å³/cell
data_CsAcSbO3
_cell_length_a 15.127
_cell_length_b 4.304
_cell_length_c 8.385
_cell_angle_alpha 90.00
_cell_angle_beta 103.90
_cell_angle_gamma 90.00
_space_group_name_H-M_alt 'C 1 2/m 1'
_space_group_IT_number 12
loop_
_space_group_symop_operation_xyz
'x,y,z'
'-x,-y,-z'
'-x,y,-z'
'x,-y,z'
'x+1/2,y+1/2,z'
'-x+1/2,-y+1/2,-z'
'-x+1/2,y+1/2,-z'
'x+1/2,-y+1/2,z'
loop_
_atom_site_label
_atom_site_fract_x
_atom_site_fract_y
_atom_site_fract_z
_atom_site_occupancy
Cs1 0.145 0.000 0.076 1
Ac1 0.153 0.000 0.552 1
Sb1 0.012 0.500 0.716 1
O1 0.004 0.000 0.683 1
O2 0.151 0.500 0.757 1
O3 0.183 0.500 0.400 1

***

No. 3
# Ac2SmHoSe5 PBE-GGA relaxed
# DFT total energy   -0.395 Ry/atom
# Size of the total moment   0.0 μB/f.u.
# E_form (uncorrected)   -1496 meV/atom
# Calculated volume   290.4 Å³/cell
data_Ac2SmHoSe5
_cell_length_a 5.136
_cell_length_b 5.136
_cell_length_c 11.009
_cell_angle_alpha 90.00
_cell_angle_beta 90.00
_cell_angle_gamma 90.00
_space_group_name_H-M_alt 'P 4/m m m'
_space_group_IT_number 123
_space_group_name_Hall '-P 4 2'
loop_
_atom_site_label
_atom_site_fract_x
_atom_site_fract_y
_atom_site_fract_z
_atom_site_occupancy
Ac1 0.000 0.000 0.211 1
Sm1 0.500 0.500 0.500 1
Ho1 0.500 0.500 0.000 1
Se1 0.000 0.000 0.500 1
Se2 0.000 0.500 0.000 1
Se3 0.500 0.500 0.252 1

***

No. 4
# AgPH2Se4 PBE-GGA relaxed
# DFT total energy   -0.268 Ry/atom
# Size of the total moment   0.0 μB/f.u.
# Calculated volume   191.7 Å³/cell
data_AgPH2Se4
_cell_length_a 5.908
_cell_length_b 6.259
_cell_length_c 6.597
_cell_angle_alpha 115.67
_cell_angle_beta 116.21
_cell_angle_gamma 90.01
_space_group_name_H-M_alt 'P 1'
_space_group_IT_number 1
loop_
_space_group_symop_operation_xyz
'x,y,z'
loop_
_atom_site_label
_atom_site_fract_x
_atom_site_fract_y
_atom_site_fract_z
_atom_site_occupancy
Ag1 0.000 0.000 0.000 1
P1 0.740 0.245 0.510 1
H1 0.313 0.033 0.531 1
H2 0.661 0.536 0.933 1
Se1 0.113 0.218 0.782 1
Se2 0.400 0.913 0.328 1
Se3 0.609 0.586 0.716 1
Se4 0.733 0.288 0.199 1

***

No. 5
# SnSbWI2 PBE-GGA relaxed
# DFT total energy   -0.298 Ry/atom
# Size of the total moment   2.6 μB/f.u.
# E_form (uncorrected)   776 meV/atom
# Calculated volume   165.4 Å³/cell
data_SnSbWI2
_cell_length_a 5.555
_cell_length_b 5.555
_cell_length_c 5.358
_cell_angle_alpha 90.00
_cell_angle_beta 90.00
_cell_angle_gamma 90.00
_space_group_name_H-M_alt 'P 4/m m m'
_space_group_IT_number 123
_space_group_name_Hall '-P 4 2'
loop_
_atom_site_label
_atom_site_fract_x
_atom_site_fract_y
_atom_site_fract_z
_atom_site_occupancy
Sn1 0.000 0.000 0.000 1
Sb1 0.500 0.500 0.000 1
W1 0.500 0.500 0.500 1
I1 0.000 0.500 0.500 1

***

No. 6
# CaB2Rh3 PBE-GGA relaxed
# Formation energy from the elements   -0.619 eV/atom
# DFT total energy   -0.504 Ry/atom
# Size of the total moment   0.0 μB/f.u.
# Calculated volume   79.8 Å³/cell
data_CaB2Rh3
_cell_length_a 5.6087
_cell_length_b 5.6087
_cell_length_c 2.9310
_cell_angle_alpha 90.00
_cell_angle_beta 90.00
_cell_angle_gamma 120.00
_space_group_name_H-M_alt 'P 6/m m m'
_space_group_IT_number 191
_space_group_name_Hall '-P 6 2'
loop_
_atom_site_label
_atom_site_fract_x
_atom_site_fract_y
_atom_site_fract_z
_atom_site_occupancy
Ca1 0.0000 0.0000 0.0000 1
B1 0.3333 0.6667 0.0000 1
Rh1 0.0000 0.5000 0.5000 1